No. 1
This record from the Alexandria database describes an optimized crystal structure of Sr4BiTeBr2. The functional is PBE-GGA.

Cell: 7.929 4.807 8.291 Å, 90.00 110.39 90.00°
Element x y z (fractional)
Sr 0.240 0.000 0.243
Sr 0.242 0.500 0.750
Sr 0.758 0.500 0.250
Sr 0.760 0.000 0.757
Bi 0.000 0.500 0.000
Te 0.000 0.000 0.500
Br 0.500 0.000 0.000
Br 0.500 0.500 0.500

Summary:
Total magnetic moment   0.0 μB per formula unit
Density   4.75 g cm⁻³
Uncorrected formation energy   -1.456 eV per atom

---

No. 2
This record from the Alexandria database describes an optimized crystal structure of CdAgRu. The functional is PBE-GGA.

Cell: 4.468 4.468 4.468 Å, 60.00 60.00 60.00°
Element x y z (fractional)
Cd 0.000 0.000 0.000
Ag 0.500 0.500 0.500
Ru 0.250 0.250 0.250

Summary:
Total magnetic moment   1.2 μB per formula unit
Density   8.46 g cm⁻³
E   -3.511 eV per atom

---

No. 3
This record from the Alexandria database describes an optimized crystal structure of NaYC. The functional is PBE-GGA.

Cell: 3.574 3.574 10.667 Å, 90.00 90.00 90.00°
Element x y z (fractional)
Na 0.250 0.250 0.138
Na 0.750 0.750 0.862
Y 0.250 0.250 0.613
Y 0.750 0.750 0.387
C 0.250 0.250 0.380
C 0.750 0.750 0.620

Summary:
Total magnetic moment   0.0 μB per formula unit
Density   3.02 g cm⁻³
E   -5.556 eV per atom

---

No. 4
This record from the Alexandria database describes an optimized crystal structure of FeHgMo3. The functional is PBE-GGA.

Cell: 4.889 4.889 4.889 Å, 90.00 90.00 90.00°
Element x y z (fractional)
Fe 0.000 0.000 0.000
Hg 0.500 0.500 0.500
Mo 0.000 0.500 0.500
Mo 0.500 0.000 0.500
Mo 0.500 0.500 0.000

Summary:
Total magnetic moment   0.8 μB per formula unit
Density   7.73 g cm⁻³
E   -5.099 eV per atom

---

No. 5
This record from the Alexandria database describes an optimized crystal structure of NbNiW. The functional is PBE-GGA.

Cell: 4.536 4.536 2.607 Å, 90.00 90.00 120.00°
Element x y z (fractional)
Nb 0.000 0.000 0.000
Ni 0.333 0.667 0.500
W 0.667 0.333 0.500

Summary:
Total magnetic moment   0.0 μB per formula unit
Density   11.99 g cm⁻³
E   -9.422 eV per atom

---

No. 6
This record from the Alexandria database describes an optimized crystal structure of Dy2PuCrN5. The functional is PBE-GGA.

Cell: 6.994 6.994 10.070 Å, 90.00 90.00 152.15°
Element x y z (fractional)
Dy 0.107 0.893 0.500
Dy 0.135 0.865 0.110
Dy 0.865 0.135 0.610
Dy 0.893 0.107 0.000
Pu 0.209 0.791 0.817
Pu 0.791 0.209 0.317
Cr 0.487 0.513 0.271
Cr 0.513 0.487 0.771
N 0.042 0.958 0.845
N 0.285 0.715 0.463
N 0.317 0.683 0.182
N 0.375 0.625 0.813
N 0.491 0.509 0.593
N 0.509 0.491 0.093
N 0.625 0.375 0.313
N 0.683 0.317 0.682
N 0.715 0.285 0.963
N 0.958 0.042 0.345

Summary:
Total magnetic moment   5.0 μB per formula unit
Density   9.97 g cm⁻³
Uncorrected formation energy   -1.123 eV per atom

---

Q: What is the formula in the sixth record?
A: Dy2PuCrN5